Record 1
# Er2Cu4Ni5

Crystalline Er2Cu4Ni5 at its relaxed geometry (PBE, the Alexandria database).

The value obtained for the energy is -56.66 eV/cell.

a b c (Å): 5.012 4.886 8.108
angles (deg): 80.88 72.00 59.14
Fractional coordinates of all 11 atoms:
Er  0.870  0.000  0.261
Cu  0.531  0.681  0.257
Ni  0.500  0.000  0.000
Er  0.130  0.000  0.739
Cu  0.788  0.681  0.743
Ni  0.500  0.500  0.000
Cu  0.212  0.319  0.257
Ni  0.000  0.500  0.000
Cu  0.469  0.319  0.743
Ni  0.250  0.500  0.500
Ni  0.750  0.500  0.500

Record 2
# LiMn3Br9

Crystalline LiMn3Br9 at its relaxed geometry (PBE, the Alexandria database).

The value obtained for the energy is -109.48 eV/cell. Its energy relative to the elements, uncorrected is -76 kJ per mole of atoms.

a b c (Å): 8.956 10.128 12.316
angles (deg): 76.90 68.68 63.76
Each line ends with the local moment (μB).
Fractional coordinates of all 26 atoms:
Br  0.041  0.873  0.237  0.02
Br  0.195  0.943  0.432  0.02
Br  0.431  0.443  0.932  0.02
Br  0.620  0.768  0.251  -0.02
Br  0.362  0.268  0.751  -0.02
Li  0.159  0.432  0.920  0.01
Mn  0.933  0.910  0.876  4.30
Br  0.086  0.576  0.545  0.01
Br  0.589  0.480  0.559  0.01
Mn  0.600  0.313  0.757  3.73
Br  0.805  0.050  0.712  0.04
Br  0.849  0.373  0.737  0.02
Br  0.793  0.076  0.045  0.01
Br  0.009  0.403  0.363  0.06
Mn  0.831  0.540  0.545  3.71
Br  0.513  0.175  0.403  0.06
Br  0.373  0.980  0.059  0.01
Br  0.646  0.795  0.577  0.03
Br  0.432  0.550  0.212  0.04
Br  0.982  0.295  0.077  0.03
Mn  0.281  0.410  0.376  4.30
Mn  0.084  0.040  0.045  3.71
Mn  0.330  0.813  0.257  3.73
Br  0.909  0.675  0.903  0.06
Br  0.225  0.903  0.863  0.06
Li  0.488  0.932  0.420  0.01

Record 3
# Hf2PPdO

Crystalline Hf2PPdO at its relaxed geometry (PBE, the Alexandria database).

The value obtained for the energy is -37.42 eV/cell. Its energy relative to the elements, uncorrected is -38 kJ per mole of atoms.

a b c (Å): 5.012 3.487 5.012
angles (deg): 90.00 90.00 90.00
Fractional coordinates of all 5 atoms:
Hf  0.000  0.000  0.500
Pd  0.500  0.500  0.500
O  0.000  0.500  0.000
Hf  0.500  0.000  0.000
P  0.000  0.000  0.000

Record 4
# Y6C2Se3O

Crystalline Y6C2Se3O at its relaxed geometry (PBE, the Alexandria database).

The value obtained for the energy is -91.26 eV/cell. Its energy relative to the elements, uncorrected is -150 kJ per mole of atoms.

a b c (Å): 3.746 7.830 8.688
angles (deg): 106.49 102.45 90.00
Fractional coordinates of all 12 atoms:
O  0.500  0.000  0.000
C  0.164  0.327  0.327
Se  0.164  0.833  0.329
Se  0.500  0.500  0.000
Se  0.836  0.167  0.671
Y  0.014  0.231  0.028
C  0.836  0.673  0.673
Y  0.323  0.444  0.647
Y  0.340  0.887  0.680
Y  0.986  0.769  0.972
Y  0.660  0.113  0.320
Y  0.677  0.556  0.353

Record 5
# Nb2Ni2Ag

Crystalline Nb2Ni2Ag at its relaxed geometry (PBE, the Alexandria database).

As for the energy above the most stable polymorph in this dataset: 188.4 meV/atom. The value obtained for the energy is -67.71 eV/cell.

a b c (Å): 7.681 7.681 2.692
angles (deg): 90.00 90.00 90.00
Fractional coordinates of all 10 atoms:
Nb  0.628  0.128  0.000
Nb  0.372  0.872  0.000
Ni  0.667  0.833  0.500
Nb  0.872  0.628  0.000
Ni  0.833  0.333  0.500
Ag  0.500  0.500  0.000
Ag  0.000  0.000  0.000
Ni  0.333  0.167  0.500
Nb  0.128  0.372  0.000
Ni  0.167  0.667  0.500

Record 6
# Sr3LaSb

Crystalline Sr3LaSb at its relaxed geometry (PBE, the Alexandria database).

As for the energy above the most stable polymorph in this dataset: 814.9 meV/atom. The value obtained for the energy is -10.48 eV/cell. Its energy relative to the elements, uncorrected is 70 kJ per mole of atoms.

a b c (Å): 6.005 6.005 6.005
angles (deg): 90.00 90.00 90.00
Fractional coordinates of all 5 atoms:
Sr  0.000  0.500  0.000
La  0.000  0.000  0.000
Sb  0.500  0.500  0.500
Sr  0.000  0.000  0.500
Sr  0.500  0.000  0.000

Record 7
# PRh3

Crystalline PRh3 at its relaxed geometry (PBE, the Alexandria database).

The value obtained for the energy is -28.25 eV/cell.

a b c (Å): 3.795 2.927 5.207
angles (deg): 74.94 90.00 90.00
Fractional coordinates of all 4 atoms:
Rh  0.500  0.362  0.772
Rh  0.500  0.638  0.228
P  0.000  0.000  0.000
Rh  0.000  0.000  0.500

Record 8
# AsPRhO2

Crystalline AsPRhO2 at its relaxed geometry (PBE, the Alexandria database).

As for the energy above the most stable polymorph in this dataset: 0.0 meV/atom. The value obtained for the energy is -27.17 eV/cell. Its energy relative to the elements, uncorrected is 3 kJ per mole of atoms.

a b c (Å): 3.586 3.586 5.515
angles (deg): 90.00 90.00 90.00
Each line ends with the local moment (μB).
Fractional coordinates of all 5 atoms:
Rh  0.500  0.500  0.500  0.72
As  0.000  0.000  0.000  0.02
P  0.000  0.000  0.500  0.07
O  0.500  0.000  0.000  0.05
O  0.000  0.500  0.000  0.05

Record 9
# YPd2Rh

Crystalline YPd2Rh at its relaxed geometry (PBE, the Alexandria database).

The value obtained for the energy is -26.23 eV/cell.

a b c (Å): 4.650 4.650 4.650
angles (deg): 60.00 60.00 60.00
Fractional coordinates of all 4 atoms:
Pd  0.750  0.750  0.750
Y  0.000  0.000  0.000
Pd  0.250  0.250  0.250
Rh  0.500  0.500  0.500

Record 10
# CrFeSbI2

Crystalline CrFeSbI2 at its relaxed geometry (PBE, the Alexandria database).

As for the energy above the most stable polymorph in this dataset: 0.0 meV/atom. The value obtained for the energy is -21.62 eV/cell. Its energy relative to the elements, uncorrected is 71 kJ per mole of atoms.

a b c (Å): 5.541 5.541 4.836
angles (deg): 90.00 90.00 90.00
Each line ends with the local moment (μB).
Fractional coordinates of all 5 atoms:
Fe  0.000  0.000  0.000  -1.91
Sb  0.000  0.000  0.500  0.15
I  0.500  0.000  0.000  0.02
I  0.000  0.500  0.000  0.02
Cr  0.500  0.500  0.500  4.33

Record 11
# Ac3Er3ScSe8

Crystalline Ac3Er3ScSe8 at its relaxed geometry (PBE, the Alexandria database).

The value obtained for the energy is -87.41 eV/cell. Its energy relative to the elements, uncorrected is -175 kJ per mole of atoms.

a b c (Å): 8.270 8.270 8.593
angles (deg): 118.76 90.00 120.00
Fractional coordinates of all 15 atoms:
Er  0.000  0.500  0.500
Sc  0.000  0.000  0.500
Ac  0.500  0.500  0.000
Se  0.762  0.020  0.282
Se  0.258  0.020  0.282
Er  0.500  0.000  0.500
Se  0.238  0.980  0.718
Se  0.742  0.980  0.718
Se  0.762  0.524  0.282
Se  0.261  0.521  0.282
Se  0.238  0.476  0.718
Ac  0.000  0.000  0.000
Er  0.500  0.500  0.500
Se  0.739  0.479  0.718
Ac  0.000  0.500  0.000

Record 12
# TaMnAlRe

Crystalline TaMnAlRe at its relaxed geometry (PBE, the Alexandria database).

The value obtained for the energy is -38.22 eV/cell.

a b c (Å): 4.374 4.374 4.374
angles (deg): 60.00 60.00 60.00
Each line ends with the local moment (μB).
Fractional coordinates of all 4 atoms:
Mn  0.750  0.750  0.750  1.87
Ta  0.000  0.000  0.000  -0.23
Al  0.500  0.500  0.500  -0.02
Re  0.250  0.250  0.250  0.32

no.,total magnetic moment (μB per atom)
1,0.000
2,1.000
3,0.000
4,0.000
5,0.000
6,0.000
7,0.000
8,0.224
9,0.000
10,0.700
11,0.000
12,0.494